No. 1
A plane-wave DFT calculation with PBE was carried out for an optimized crystal structure of LaSi3N.

The space group is Pm-3m (No. 221) and the conventional cell measures 4.371, 4.371 and 4.371 Å, with angles of 90.00, 90.00 and 90.00 degrees. The asymmetric unit holds La at (0.000, 0.000, 0.000), Si at (0.000, 0.500, 0.500) and N at (0.500, 0.500, 0.500).

The value obtained for the uncorrected energy is -28.25 eV/cell. The formation energy (no corrections) is 0.254 eV/atom. The value obtained for the energy above the most stable polymorph in this dataset is 0.0 meV per atom.


No. 2
A plane-wave DFT calculation with PBE was carried out for an optimized crystal structure of Y2TcN.

The space group is I-42d (No. 122) and the conventional cell measures 6.668, 6.668 and 7.732 Å, with angles of 90.00, 90.00 and 90.00 degrees. The asymmetric unit holds Y at (0.173, 0.250, 0.125), Tc at (0.000, 0.000, 0.500) and N at (0.000, 0.000, 0.000).

The value obtained for the uncorrected energy is -127.24 eV/cell. The formation energy (no corrections) is -0.048 eV/atom.


No. 3
A plane-wave DFT calculation with PBE was carried out for an optimized crystal structure of Ce2PrCo2Ge2.

The space group is R-3m (No. 166, hexagonal axes) and the conventional cell measures 4.2773, 4.2773 and 26.3806 Å, with angles of 90.00, 90.00 and 120.00 degrees. The asymmetric unit holds Ce at (0.0000, 0.0000, 0.1389), Pr at (0.0000, 0.0000, 0.0000), Co at (0.0000, 0.0000, 0.4270) and Ge at (0.0000, 0.0000, 0.2605).

The value obtained for the uncorrected energy is -131.68 eV/cell. The value obtained for the formation energy is -0.543 eV/atom.


No. 4
A plane-wave DFT calculation with PBE was carried out for an optimized crystal structure of TaSiBr4.

The space group is F-43m (No. 216) and the conventional cell measures 8.494, 8.494 and 8.494 Å, with angles of 90.00, 90.00 and 90.00 degrees. The asymmetric unit holds Ta at (0.000, 0.000, 0.000), Si at (0.250, 0.250, 0.250) and Br at (0.126, 0.126, 0.626).

The value obtained for the uncorrected energy is -60.24 eV/cell. The formation energy (no corrections) is 1.485 eV/atom.


No. 5
A plane-wave DFT calculation with PBE was carried out for an optimized crystal structure of TmBi5.

The space group is Cmmm (No. 65) and the conventional cell measures 4.685, 16.377 and 4.836 Å, with angles of 90.00, 90.00 and 90.00 degrees. The asymmetric unit holds Tm at (0.000, 0.000, 0.000), Bi at (0.000, 0.165, 0.500), Bi at (0.000, 0.350, 0.000) and Bi at (0.000, 0.500, 0.500).

The value obtained for the uncorrected energy is -49.77 eV/cell. The value obtained for the formation energy is -0.168 eV/atom.


No. 6
A plane-wave DFT calculation with PBE was carried out for an optimized crystal structure of PmW2N4.

The space group is Cmcm (No. 63) and the conventional cell measures 3.321, 9.901 and 10.110 Å, with angles of 90.00, 90.00 and 90.00 degrees. The asymmetric unit holds Pm at (0.000, 0.124, 0.250), W at (0.000, 0.383, 0.058), N at (0.000, 0.000, 0.000), N at (0.000, 0.260, 0.604) and N at (0.000, 0.431, 0.250).

The value obtained for the uncorrected energy is -275.42 eV/cell. The formation energy (no corrections) is -0.700 eV/atom.